# Ti2TcBiAu | Alexandria via LeMat-Bulk | PBE | relaxed
# Electronic total energy   -0.1967 hartree per atom
# DFT formation energy   1.31 eV/atom
data_Ti2TcBiAu
_chemical_formula_sum 'Ti2 Tc1 Bi1 Au1'
_cell_length_a 4.890
_cell_length_b 4.890
_cell_length_c 5.454
_cell_angle_alpha 90.00
_cell_angle_beta 90.00
_cell_angle_gamma 90.00
_space_group_name_H-M_alt 'P 1'
_space_group_IT_number 1
loop_
_space_group_symop_operation_xyz
'x,y,z'
loop_
_atom_site_label
_atom_site_type_symbol
_atom_site_fract_x
_atom_site_fract_y
_atom_site_fract_z
Ti1 Ti 0.000 0.500 0.000
Ti2 Ti 0.500 0.000 0.000
Tc1 Tc 0.000 0.000 0.500
Bi1 Bi 0.500 0.500 0.500
Au1 Au 0.500 0.500 0.000


# HfTa3Ti | Alexandria via LeMat-Bulk | PBE | relaxed
# ΔE to the lowest computed polymorph   0.000 eV per atom
# Electronic total energy   -0.3496 hartree per atom
# DFT formation energy   1.17 eV/atom
data_HfTa3Ti
_chemical_formula_sum 'Hf1 Ta3 Ti1'
_cell_length_a 4.711
_cell_length_b 4.711
_cell_length_c 4.711
_cell_angle_alpha 90.00
_cell_angle_beta 90.00
_cell_angle_gamma 90.00
_space_group_name_H-M_alt 'P 1'
_space_group_IT_number 1
loop_
_space_group_symop_operation_xyz
'x,y,z'
loop_
_atom_site_label
_atom_site_type_symbol
_atom_site_fract_x
_atom_site_fract_y
_atom_site_fract_z
Hf1 Hf 0.000 0.000 0.000
Ta1 Ta 0.000 0.500 0.500
Ta2 Ta 0.500 0.000 0.500
Ta3 Ta 0.500 0.500 0.000
Ti1 Ti 0.500 0.500 0.500


# TlAg2BiI6 | Alexandria via LeMat-Bulk | PBE | relaxed
# Electronic total energy   -0.0914 hartree per atom
# Energy relative to the elements, uncorrected   -0.36 eV per atom
data_TlAg2BiI6
_chemical_formula_sum 'Tl1 Ag2 Bi1 I6'
_cell_length_a 7.943
_cell_length_b 7.958
_cell_length_c 8.578
_cell_angle_alpha 89.95
_cell_angle_beta 62.42
_cell_angle_gamma 60.11
_space_group_name_H-M_alt 'P 1'
_space_group_IT_number 1
loop_
_space_group_symop_operation_xyz
'x,y,z'
loop_
_atom_site_label
_atom_site_type_symbol
_atom_site_fract_x
_atom_site_fract_y
_atom_site_fract_z
Tl1 Tl 0.000 0.000 0.000
Ag1 Ag 0.369 0.817 0.449
Ag2 Ag 0.414 0.292 0.885
Bi1 Bi 0.033 0.484 0.451
I1 I 0.233 0.213 0.672
I2 I 0.273 0.069 0.185
I3 I 0.474 0.459 0.185
I4 I 0.541 0.555 0.673
I5 I 0.879 0.662 0.189
I6 I 0.887 0.903 0.669


# TbCo4B4 | Alexandria via LeMat-Bulk | PBE | relaxed
# ΔE to the lowest computed polymorph   0.014 eV per atom
# Electronic total energy   -0.2623 hartree per atom
# DFT formation energy   -0.50 eV/atom
data_TbCo4B4
_chemical_formula_sum 'Tb2 Co8 B8'
_cell_length_a 5.011
_cell_length_b 5.011
_cell_length_c 6.990
_cell_angle_alpha 90.00
_cell_angle_beta 90.00
_cell_angle_gamma 90.00
_space_group_name_H-M_alt 'P 1'
_space_group_IT_number 1
loop_
_space_group_symop_operation_xyz
'x,y,z'
loop_
_atom_site_label
_atom_site_type_symbol
_atom_site_fract_x
_atom_site_fract_y
_atom_site_fract_z
Tb1 Tb 0.250 0.750 0.250
Tb2 Tb 0.750 0.250 0.750
Co1 Co 0.004 0.750 0.614
Co2 Co 0.250 0.504 0.886
Co3 Co 0.250 0.996 0.886
Co4 Co 0.496 0.750 0.614
Co5 Co 0.504 0.250 0.386
Co6 Co 0.750 0.004 0.114
Co7 Co 0.750 0.496 0.114
Co8 Co 0.996 0.250 0.386
B1 B 0.075 0.250 0.090
B2 B 0.250 0.075 0.590
B3 B 0.250 0.425 0.590
B4 B 0.425 0.250 0.090
B5 B 0.575 0.750 0.910
B6 B 0.750 0.575 0.410
B7 B 0.750 0.925 0.410
B8 B 0.925 0.750 0.910


Copy entry 4 word for word.
# TbCo4B4 | Alexandria via LeMat-Bulk | PBE | relaxed
# ΔE to the lowest computed polymorph   0.014 eV per atom
# Electronic total energy   -0.2623 hartree per atom
# DFT formation energy   -0.50 eV/atom
data_TbCo4B4
_chemical_formula_sum 'Tb2 Co8 B8'
_cell_length_a 5.011
_cell_length_b 5.011
_cell_length_c 6.990
_cell_angle_alpha 90.00
_cell_angle_beta 90.00
_cell_angle_gamma 90.00
_space_group_name_H-M_alt 'P 1'
_space_group_IT_number 1
loop_
_space_group_symop_operation_xyz
'x,y,z'
loop_
_atom_site_label
_atom_site_type_symbol
_atom_site_fract_x
_atom_site_fract_y
_atom_site_fract_z
Tb1 Tb 0.250 0.750 0.250
Tb2 Tb 0.750 0.250 0.750
Co1 Co 0.004 0.750 0.614
Co2 Co 0.250 0.504 0.886
Co3 Co 0.250 0.996 0.886
Co4 Co 0.496 0.750 0.614
Co5 Co 0.504 0.250 0.386
Co6 Co 0.750 0.004 0.114
Co7 Co 0.750 0.496 0.114
Co8 Co 0.996 0.250 0.386
B1 B 0.075 0.250 0.090
B2 B 0.250 0.075 0.590
B3 B 0.250 0.425 0.590
B4 B 0.425 0.250 0.090
B5 B 0.575 0.750 0.910
B6 B 0.750 0.575 0.410
B7 B 0.750 0.925 0.410
B8 B 0.925 0.750 0.910